An optimized crystal structure of Rb3Ag2PbCl9, computed with PBE.

Raw total energy in eV per cell: -46.6
Formation energy from raw total energies in eV/atom: -1.179
Symmetry: P-3m1 (164)
Spin magnetization in Bohr magnetons per cell: 0.000

```
data_Rb3Ag2PbCl9
_chemical_formula_sum 'Rb3 Ag2 Pb1 Cl9'
_cell_length_a 7.485
_cell_length_b 7.485
_cell_length_c 9.274
_cell_angle_alpha 90.00
_cell_angle_beta 90.00
_cell_angle_gamma 120.00
_symmetry_space_group_name_H-M 'P 1'
_symmetry_Int_Tables_number 1
loop_
_symmetry_equiv_pos_as_xyz
'x,y,z'
loop_
_atom_site_label
_atom_site_type_symbol
_atom_site_fract_x
_atom_site_fract_y
_atom_site_fract_z
Ag1 Ag 0.333 0.667 0.157
Cl1 Cl 0.829 0.171 0.672
Cl2 Cl 0.171 0.829 0.328
Cl3 Cl 0.000 0.500 0.000
Cl4 Cl 0.171 0.341 0.328
Rb1 Rb 0.000 0.000 0.000
Pb1 Pb 0.000 0.000 0.500
Cl5 Cl 0.500 0.000 0.000
Cl6 Cl 0.500 0.500 0.000
Cl7 Cl 0.659 0.829 0.328
Cl8 Cl 0.829 0.659 0.672
Rb2 Rb 0.333 0.667 0.694
Cl9 Cl 0.341 0.171 0.672
Rb3 Rb 0.667 0.333 0.306
Ag2 Ag 0.667 0.333 0.843
```